VIr2AuN, relaxed, DFT PBE; ΔE_f (raw) = 51.61 kcal/mol of atoms; final energy = -5.451 eV per atom
1.0
-2.350 -2.522 -2.888
4.075 -2.650 -1.002
-1.033 -2.846 3.326
Ir N V Au
2 1 1 1
direct
0.000 0.000 0.500
0.500 0.000 0.000
0.500 0.500 0.500
0.000 0.000 0.000
0.000 0.500 0.000